Ba2TlSb2: optimized geometry, PBEsol.

Cell lengths 8.5891, 8.5891, 4.8892 Å; angles 90.00, 90.00, 90.00 degrees
With the nearest neighbours (Å) after each atom.
Fractional coordinates of all 10 atoms:
Ba 0.1793 0.3207 0.0000  6 Sb 3.47-3.57
Ba 0.3207 0.8207 0.0000  6 Sb 3.47-3.57
Ba 0.6793 0.1793 0.0000  6 Sb 3.47-3.57
Ba 0.8207 0.6793 0.0000  6 Sb 3.47-3.57
Tl 0.0000 0.0000 0.5000  4 Sb 3.44
Tl 0.5000 0.5000 0.5000  4 Sb 3.44
Sb 0.1175 0.6175 0.5000  1 Sb 2.86
Sb 0.3825 0.1175 0.5000  1 Sb 2.86
Sb 0.6175 0.8825 0.5000  1 Sb 2.86
Sb 0.8825 0.3825 0.5000  1 Sb 2.86

## Properties
The electronic total energy comes out at -3.99 eV per atom. The calculation puts the formation energy (no corrections) at -0.786 eV/atom.

---

KLiEr2Mo4O16: optimized geometry, PBEsol.

Cell lengths 6.7005, 6.7005, 19.3140 Å; angles 91.38, 91.38, 134.99 degrees
With the nearest neighbours (Å) after each atom.
Fractional coordinates of all 48 atoms:
K 0.0329 0.9671 0.7500  4 O 2.63-2.65
K 0.9671 0.0329 0.2500  4 O 2.63-2.65
Li 0.3150 0.6850 0.7500  4 O 2.00-2.03
Li 0.6850 0.3150 0.2500  4 O 2.00-2.03
Er 0.1453 0.8515 0.5315  8 O 2.24-2.43
Er 0.1485 0.8547 0.9685  8 O 2.24-2.43
Er 0.8515 0.1453 0.0315  8 O 2.24-2.43
Er 0.8547 0.1485 0.4685  8 O 2.24-2.43
Mo 0.2441 0.7356 0.3537  4 O 1.73-1.85
Mo 0.2644 0.7559 0.1463  4 O 1.73-1.85
Mo 0.4207 0.5448 0.9081  4 O 1.74-1.84
Mo 0.4552 0.5793 0.5919  4 O 1.74-1.84
Mo 0.5448 0.4207 0.4081  4 O 1.74-1.84
Mo 0.5793 0.4552 0.0919  4 O 1.74-1.84
Mo 0.7356 0.2441 0.8537  4 O 1.73-1.85
Mo 0.7559 0.2644 0.6463  4 O 1.73-1.85
O 0.0031 0.2717 0.8296  1 Mo 1.74
O 0.0522 0.5793 0.4336  1 Mo 1.85
O 0.0663 0.4787 0.2862  1 Mo 1.73
O 0.0972 0.4019 0.1305  1 Mo 1.78
O 0.1652 0.5038 0.9586  1 Mo 1.84
O 0.2181 0.2555 0.5366  1 Mo 1.82
O 0.2245 0.3256 0.3990  1 Mo 1.76
O 0.2555 0.2181 0.0366  1 Mo 1.82
O 0.2717 0.0031 0.3296  1 Mo 1.74
O 0.2929 0.4731 0.6702  1 Mo 1.74
O 0.3256 0.2245 0.8990  1 Mo 1.76
O 0.4019 0.0972 0.6305  1 Mo 1.78
O 0.4207 0.9478 0.0664  1 Mo 1.85
O 0.4731 0.2929 0.1702  1 Mo 1.74
O 0.4787 0.0663 0.7862  1 Mo 1.73
O 0.4962 0.8348 0.5414  1 Mo 1.84
O 0.5038 0.1652 0.4586  1 Mo 1.84
O 0.5213 0.9337 0.2138  1 Mo 1.73
O 0.5269 0.7071 0.8298  1 Mo 1.74
O 0.5793 0.0522 0.9336  1 Mo 1.85
O 0.5981 0.9028 0.3695  1 Mo 1.78
O 0.6744 0.7755 0.1010  1 Mo 1.76
O 0.7071 0.5269 0.3298  1 Mo 1.74
O 0.7283 0.9969 0.6704  1 Mo 1.74
O 0.7445 0.7819 0.9634  1 Mo 1.82
O 0.7755 0.6744 0.6010  1 Mo 1.76
O 0.7819 0.7445 0.4634  1 Mo 1.82
O 0.8348 0.4962 0.0414  1 Mo 1.84
O 0.9028 0.5981 0.8695  1 Mo 1.78
O 0.9337 0.5213 0.7138  1 Mo 1.73
O 0.9478 0.4207 0.5664  1 Mo 1.85
O 0.9969 0.7283 0.1704  1 Mo 1.74

## Properties
The electronic total energy comes out at -8.46 eV per atom. The calculation puts the formation energy (no corrections) at -2.457 eV/atom.

---

Li5Mn4: optimized geometry, PBEsol.

Cell lengths 6.2658, 6.2658, 6.2658 Å; angles 95.18, 95.18, 145.03 degrees
With the nearest neighbours (Å) after each atom.
Fractional coordinates of all 9 atoms:
Li 0.0000 0.0000 0.0000  8 Li 2.79, 4 Mn 2.96
Li 0.3281 0.3281 0.6561  6 Li 2.65-2.91, 6 Mn 2.78-2.82
Li 0.3281 0.6719 0.0000  6 Li 2.65-2.91, 6 Mn 2.78-2.82
Li 0.6719 0.3281 0.0000  6 Li 2.65-2.91, 6 Mn 2.78-2.82
Li 0.6719 0.6719 0.3439  6 Li 2.65-2.91, 6 Mn 2.78-2.82
Mn 0.0000 0.3507 0.3507  5 Mn 2.52-2.59, 6 Li 2.78-2.82
Mn 0.0000 0.6493 0.6493  5 Mn 2.52-2.59, 6 Li 2.78-2.82
Mn 0.3507 0.0000 0.3507  5 Mn 2.52-2.59, 6 Li 2.78-2.82
Mn 0.6493 0.0000 0.6493  5 Mn 2.52-2.59, 6 Li 2.78-2.82

## Properties
The electronic total energy comes out at -4.94 eV per atom. For the formation energy, the calculation gives 0.489 eV/atom.

---

KLi2Be: optimized geometry, PBEsol.

Cell lengths 3.1779, 3.9739, 16.1812 Å; angles 90.00, 90.00, 90.00 degrees
With the nearest neighbours (Å) after each atom.
Fractional coordinates of all 8 atoms:
K 0.0000 0.0000 0.0000  2 K 3.18, 2 Be 3.38
K 0.5000 0.5000 0.5000  2 K 3.18, 2 Be 3.38
Li 0.0000 0.0000 0.6874  2 Be 2.62, 2 Li 2.85
Li 0.0000 0.5000 0.8139  4 Be 2.54
Li 0.5000 0.0000 0.3139  4 Be 2.54
Li 0.5000 0.5000 0.1874  2 Be 2.62, 2 Li 2.85
Be 0.0000 0.5000 0.3159  6 Li 2.54-2.62
Be 0.5000 0.0000 0.8159  6 Li 2.54-2.62

## Properties
The electronic total energy comes out at -1.78 eV per atom. For the formation energy, the calculation gives 0.486 eV/atom.

---

LiRe2Se: optimized geometry, PBEsol.

Cell lengths 2.8317, 4.1629, 5.0263 Å; angles 90.00, 90.00, 90.00 degrees
With the nearest neighbours (Å) after each atom.
Fractional coordinates of all 4 atoms:
Li 0.0000 0.0000 0.0000  2 Se 2.51, 8 Re 2.78
Re 0.5000 0.5000 0.2336  1 Re 2.35
Re 0.5000 0.5000 0.7664  1 Re 2.35
Se 0.0000 0.0000 0.5000  2 Li 2.51

## Properties
The electronic total energy comes out at -7.41 eV per atom. The calculation puts the formation energy (no corrections) at 0.713 eV/atom.

---

Ca3C: optimized geometry, PBEsol.

Cell lengths 3.6457, 3.6457, 9.8182 Å; angles 90.00, 90.00, 120.00 degrees
With the nearest neighbours (Å) after each atom.
Fractional coordinates of all 4 atoms:
Ca 0.0000 0.0000 0.0000  12 Ca 3.65-4.05
Ca 0.3333 0.6667 0.3528  3 C 2.55
Ca 0.3333 0.6667 0.6472  3 C 2.55
C 0.0000 0.0000 0.5000  6 Ca 2.55

## Properties
The electronic total energy comes out at -3.57 eV per atom. For the formation energy, the calculation gives 0.437 eV/atom.

---

- Number 5 is which compound?
  LiRe2Se

---

- Number 1 is which compound?
  Ba2TlSb2

---

Repeat the fourth record exactly.
KLi2Be: optimized geometry, PBEsol.

Cell lengths 3.1779, 3.9739, 16.1812 Å; angles 90.00, 90.00, 90.00 degrees
With the nearest neighbours (Å) after each atom.
Fractional coordinates of all 8 atoms:
K 0.0000 0.0000 0.0000  2 K 3.18, 2 Be 3.38
K 0.5000 0.5000 0.5000  2 K 3.18, 2 Be 3.38
Li 0.0000 0.0000 0.6874  2 Be 2.62, 2 Li 2.85
Li 0.0000 0.5000 0.8139  4 Be 2.54
Li 0.5000 0.0000 0.3139  4 Be 2.54
Li 0.5000 0.5000 0.1874  2 Be 2.62, 2 Li 2.85
Be 0.0000 0.5000 0.3159  6 Li 2.54-2.62
Be 0.5000 0.0000 0.8159  6 Li 2.54-2.62

## Properties
The electronic total energy comes out at -1.78 eV per atom. For the formation energy, the calculation gives 0.486 eV/atom.

---

- What is the electronic total energy in the sixth record?
  -3.57 eV per atom